An optimized crystal structure of BeCuRe3, computed with PBE-GGA.

Summary:
Calculated total energy = -8.065 eV/atom
Calculated formation energy = 0.969 eV per atom
DOS at the Fermi energy = 4.35 states/eV/f.u.
Excess energy over the best structure of this formula in the dataset = 0.0000 eV/atom
SG = Pm-3m, No. 221

a = 4.1180 Å, b = 4.1180 Å, c = 4.1180 Å
α = 90.00°, β = 90.00°, γ = 90.00°
Last column: nearest neighbours and their distance in Å.
Sites, in units of the cell vectors:
Re  0.0000  0.5000  0.0000  2 Be 2.06
Re  0.5000  0.0000  0.0000  2 Be 2.06
Be  0.0000  0.0000  0.0000  6 Re 2.06
Cu  0.5000  0.5000  0.5000  12 Re 2.91
Re  0.0000  0.0000  0.5000  2 Be 2.06